The following is a DFT calculation (PBE) of ZrTc2NiSb after structural relaxation.

Properties
DOS at the Fermi energy, states/eV/atom: 0.927
Formation energy without anion corrections, eV/atom: 0.78
Crystal system: tetragonal
E_tot, eV per formula unit: -35.3

abc: 4.604 4.604 4.543
angles: 90.00 90.00 90.00
Element x y z (fractional)
Zr (0.000, 0.000, 0.000)
Tc (0.000, 0.500, 0.500)
Tc (0.500, 0.000, 0.500)
Ni (0.500, 0.500, 0.500)
Sb (0.500, 0.500, 0.000)